# KNa2Pd2

A relaxed KNa2Pd2 crystal (GGA-PBE, OQMD via LeMat-Bulk).

relative energy among the computed polymorphs	0.47	eV/f.u.
calculated density	3.83	Mg/m³
V	25.81	Å³/atom

Cell and atoms, written as POSCAR:
```
KNa2Pd2
1.0
-2.315 2.315 6.020
2.315 -2.315 6.020
2.315 2.315 -6.020
Pd Na K
2 2 1
Direct
0.609 0.609 0.000
0.391 0.391 0.000
0.250 0.750 0.500
0.750 0.250 0.500
0.000 0.000 0.000
```

# Li3Ta2Pb3O12

A relaxed Li3Ta2Pb3O12 crystal (GGA-PBE, OQMD via LeMat-Bulk).

calculated density	8.47	Mg/m³
V	11.72	Å³/atom
total DFT energy (no corrections)	-6.740	eV per atom

Cell and atoms, written as POSCAR:
```
Li3Ta2Pb3O12
1.0
6.166 6.166 6.166
-6.166 6.166 -6.166
-6.166 -6.166 6.166
O Ta Li Pb
48 8 12 12
Direct
0.793 0.378 0.971
0.971 0.178 0.093
0.622 0.207 0.529
0.293 0.822 0.915
0.593 0.415 0.122
0.029 0.822 0.907
0.971 0.293 0.878
0.707 0.029 0.622
0.207 0.622 0.029
0.029 0.707 0.122
0.093 0.122 0.415
0.593 0.678 0.471
0.085 0.207 0.678
0.093 0.471 0.678
0.085 0.378 0.407
0.622 0.915 0.093
0.907 0.878 0.585
0.915 0.622 0.593
0.407 0.585 0.878
0.907 0.529 0.322
0.322 0.407 0.029
0.378 0.085 0.907
0.678 0.593 0.971
0.407 0.322 0.529
0.793 0.915 0.822
0.378 0.793 0.471
0.707 0.178 0.085
0.529 0.907 0.822
0.471 0.878 0.293
0.822 0.029 0.407
0.178 0.707 0.585
0.585 0.407 0.378
0.293 0.971 0.378
0.122 0.093 0.915
0.529 0.122 0.707
0.878 0.471 0.793
0.915 0.793 0.322
0.415 0.593 0.622
0.878 0.907 0.085
0.122 0.529 0.207
0.678 0.585 0.707
0.585 0.678 0.207
0.415 0.322 0.793
0.322 0.415 0.293
0.178 0.971 0.593
0.822 0.293 0.415
0.471 0.093 0.178
0.207 0.085 0.178
0.000 0.000 0.500
0.500 0.500 0.000
0.500 0.000 0.500
0.500 0.000 0.000
0.500 0.500 0.500
0.000 0.500 0.500
0.000 0.500 0.000
0.000 0.000 0.000
0.625 0.875 0.250
0.250 0.625 0.875
0.125 0.250 0.875
0.375 0.125 0.750
0.875 0.750 0.125
0.375 0.750 0.625
0.875 0.625 0.750
0.625 0.250 0.375
0.250 0.125 0.375
0.125 0.375 0.250
0.750 0.875 0.625
0.750 0.375 0.125
0.875 0.125 0.250
0.250 0.375 0.625
0.875 0.250 0.625
0.125 0.750 0.375
0.375 0.250 0.125
0.750 0.125 0.875
0.125 0.875 0.750
0.250 0.875 0.125
0.750 0.625 0.375
0.625 0.750 0.875
0.375 0.625 0.250
0.625 0.375 0.750
```